Record 1
Pm6Tl3Pt PBE relaxed; total magnetization = 0.000 Bohr magnetons per cell; DFT formation energy = -0.424 eV per atom; V = 599 Å³ per cell; space group = No. 58; E_tot = -4.588 eV per atom
1.0
9.263 0.000 0.000
0.000 12.065 0.000
0.000 0.000 5.364
Pm Tl Pt
12 6 2
Cartesian
0.096 2.879 0.000 Pm
1.442 0.996 2.682 Pm
1.722 5.036 2.682 Pm
2.909 11.069 0.000 Pm
3.189 7.028 0.000 Pm
4.535 8.912 2.682 Pm
4.728 3.153 2.682 Pm
6.073 5.037 0.000 Pm
6.353 0.997 0.000 Pm
7.541 7.030 2.682 Pm
7.820 11.070 2.682 Pm
9.166 9.186 0.000 Pm
0.000 6.033 0.000 Tl
1.439 8.858 2.682 Tl
3.192 2.826 0.000 Tl
4.631 0.000 2.682 Tl
6.070 9.240 0.000 Tl
7.824 3.207 2.682 Tl
0.000 0.000 0.000 Pt
4.631 6.033 2.682 Pt

Record 2
Mo2HPtRh PBE relaxed; total magnetization = 0.000 Bohr magnetons per cell; V = 63 Å³ per cell; space group = No. 123; E_tot = -7.767 eV per atom
1.0
3.918 0.000 0.000
0.000 3.918 0.000
0.000 0.000 4.105
Mo H Pt Rh
2 1 1 1
Cartesian
0.000 1.959 0.000 Mo
1.959 0.000 0.000 Mo
0.000 0.000 0.000 H
0.000 0.000 2.052 Pt
1.959 1.959 2.052 Rh

Record 3
HgHOs2O PBE relaxed; total magnetization = 5.336 Bohr magnetons per cell; V = 85 Å³ per cell; space group = No. 123; E_tot = -3.707 eV per atom
1.0
5.209 0.000 0.000
0.000 5.209 0.000
0.000 0.000 3.151
Hg H Os O
1 1 2 1
Cartesian
0.000 0.000 0.000 Hg
0.000 0.000 1.575 H
0.000 2.604 0.000 Os
2.604 0.000 0.000 Os
2.604 2.604 1.575 O

Record 4
PmThCuTc PBE relaxed; total magnetization = 0.000 Bohr magnetons per cell; DFT formation energy = -0.053 eV per atom; V = 90 Å³ per cell; space group = No. 216; E_tot = -6.712 eV per atom
1.0
0.000 3.552 3.552
3.552 0.000 3.552
3.552 3.552 0.000
Pm Th Cu Tc
1 1 1 1
Cartesian
0.000 0.000 0.000 Pm
3.552 3.552 3.552 Th
1.776 1.776 1.776 Cu
5.328 5.328 5.328 Tc

Record 5
DyAgPdPb PBE relaxed; total magnetization = 0.000 Bohr magnetons per cell; DFT formation energy = -0.473 eV per atom; V = 86 Å³ per cell; space group = No. 216; E_tot = -4.562 eV per atom
1.0
0.000 3.501 3.501
3.501 0.000 3.501
3.501 3.501 0.000
Dy Ag Pd Pb
1 1 1 1
Cartesian
0.000 0.000 0.000 Dy
1.750 1.750 1.750 Ag
5.251 5.251 5.251 Pd
3.501 3.501 3.501 Pb

Record 6
LaDy2Co9 PBE relaxed; total magnetization = 10.272 Bohr magnetons per cell; DFT formation energy = -0.130 eV per atom; V = 178 Å³ per cell; space group = No. 166; E_tot = -6.637 eV per atom
1.0
2.515 1.452 8.122
-2.515 1.452 8.122
0.000 -2.904 8.122
La Dy Co
1 2 9
Cartesian
0.000 0.000 0.000 La
0.000 0.000 3.417 Dy
0.000 0.000 20.948 Dy
-1.271 -0.734 10.136 Co
0.000 0.000 8.166 Co
0.000 -1.468 14.229 Co
-1.271 0.734 14.229 Co
0.000 0.000 12.182 Co
1.271 -0.734 10.136 Co
0.000 1.468 10.136 Co
0.000 0.000 16.199 Co
1.271 0.734 14.229 Co

Record 7
PrSn4Pb PBE relaxed; total magnetization = 0.000 Bohr magnetons per cell; DFT formation energy = -0.203 eV per atom; V = 173 Å³ per cell; space group = No. 216; E_tot = -4.286 eV per atom
1.0
0.000 4.425 4.425
4.425 0.000 4.425
4.425 4.425 0.000
Pr Sn Pb
1 4 1
Cartesian
0.000 0.000 0.000 Pr
3.320 3.320 3.320 Sn
5.530 5.530 3.320 Sn
5.530 3.320 5.530 Sn
3.320 5.530 5.530 Sn
6.637 6.637 6.637 Pb

Record 8
La2HgHIr PBE relaxed; total magnetization = 0.000 Bohr magnetons per cell; V = 108 Å³ per cell; space group = No. 123; E_tot = -4.976 eV per atom
1.0
5.367 0.000 0.000
0.000 5.367 0.000
0.000 0.000 3.749
La Hg H Ir
2 1 1 1
Cartesian
0.000 2.683 0.000 La
2.683 0.000 0.000 La
0.000 0.000 1.874 Hg
2.683 2.683 0.000 H
2.683 2.683 1.874 Ir

Record 9
V2SnOs PBE relaxed; total magnetization = 0.000 Bohr magnetons per cell; DFT formation energy = 0.470 eV per atom; V = 142 Å³ per cell; space group = No. 122; E_tot = -7.897 eV per atom
1.0
-3.609 3.609 2.717
3.609 -3.609 2.717
3.609 3.609 -2.717
V Sn Os
4 2 2
Cartesian
5.413 1.420 -0.679 V
1.420 1.804 0.679 V
-1.804 2.189 2.038 V
2.189 1.804 3.396 V
3.609 0.000 1.359 Sn
0.000 0.000 2.717 Sn
0.000 0.000 0.000 Os
0.000 3.609 1.359 Os

Record 10
RbCuSnS3 PBE relaxed; total magnetization = 0.000 Bohr magnetons per cell; formation energy (no corrections) = -620.3 meV per atom; V = 304 Å³ per cell; space group = No. 11; E_tot = -4.195 eV per atom
1.0
9.045 0.000 0.000
0.000 3.913 0.000
-3.332 0.000 8.590
Rb Cu Sn S
2 2 2 6
Cartesian
1.040 0.978 2.189 Rb
4.673 2.935 6.401 Rb
-1.330 0.978 5.005 Cu
7.042 2.935 3.585 Cu
0.132 2.935 7.314 Sn
5.580 0.978 1.276 Sn
-1.627 0.978 7.351 S
0.028 2.935 4.749 S
3.726 2.935 1.303 S
1.987 0.978 7.287 S
5.684 0.978 3.841 S
7.340 2.935 1.239 S

Record 11
CaMoN3 PBE relaxed; total magnetization = 0.190 Bohr magnetons per cell; formation energy (no corrections) = -578.9 meV per atom; V = 148 Å³ per cell; space group = No. 2; E_tot = -8.141 eV per atom
1.0
3.585 0.000 0.000
0.005 4.391 0.000
0.730 2.015 9.419
Ca Mo N
2 2 6
Cartesian
0.361 2.209 2.067 Ca
3.959 4.197 7.352 Ca
2.155 1.944 5.650 Mo
2.165 4.461 3.769 Mo
0.385 4.390 2.965 N
2.078 4.212 9.019 N
2.150 4.204 5.680 N
2.170 2.201 3.740 N
2.242 2.194 0.400 N
3.935 2.015 6.454 N

Record 12
PmTi2NiN4 PBE relaxed; total magnetization = 0.000 Bohr magnetons per cell; formation energy (no corrections) = -1134.3 meV per atom; V = 177 Å³ per cell; space group = No. 63; E_tot = -8.587 eV per atom
1.0
1.575 -5.295 0.000
1.575 5.295 0.000
0.000 0.000 10.616
Pm Ti Ni N
2 4 2 8
Cartesian
1.575 4.155 7.962 Pm
1.575 -4.155 2.654 Pm
1.575 1.404 5.832 Ti
1.575 1.404 10.093 Ti
1.575 -1.404 0.524 Ti
1.575 -1.404 4.785 Ti
1.575 3.636 2.654 Ni
1.575 -3.636 7.962 Ni
0.000 0.000 0.000 N
0.000 0.000 5.308 N
1.575 2.463 1.142 N
1.575 2.463 4.167 N
1.575 0.647 7.962 N
1.575 -0.647 2.654 N
1.575 -2.463 6.450 N
1.575 -2.463 9.475 N

Record 13
Ge2Mo2Pb PBE relaxed; total magnetization = 0.000 Bohr magnetons per cell; DFT formation energy = 0.253 eV per atom; V = 179 Å³ per cell; space group = No. 127; E_tot = -6.668 eV per atom
1.0
7.414 0.000 0.000
0.000 7.414 0.000
0.000 0.000 3.260
Ge Mo Pb
4 4 2
Cartesian
1.060 2.647 0.000 Ge
2.647 6.354 0.000 Ge
4.768 1.060 0.000 Ge
6.354 4.768 0.000 Ge
1.080 4.787 1.630 Mo
2.627 1.080 1.630 Mo
4.787 6.334 1.630 Mo
6.334 2.627 1.630 Mo
0.000 0.000 1.630 Pb
3.707 3.707 1.630 Pb

Record 14
Ce3Ho2ScS6 PBE relaxed; total magnetization = 2.457 Bohr magnetons per cell; formation energy (no corrections) = -1992.6 meV per atom; V = 257 Å³ per cell; space group = No. 12; E_tot = -6.830 eV per atom
1.0
3.373 -5.846 0.000
3.373 5.846 0.000
-2.256 0.000 6.509
Ce Ho Sc S
3 2 1 6
Cartesian
0.000 0.000 0.000 Ce
3.373 1.977 0.000 Ce
3.373 -1.977 0.000 Ce
2.245 3.901 3.255 Ho
2.245 -3.901 3.255 Ho
2.245 0.000 3.255 Sc
1.150 1.903 1.753 S
0.048 0.000 4.775 S
1.150 -1.903 1.753 S
3.340 1.903 4.756 S
4.441 0.000 1.735 S
3.340 -1.903 4.756 S

Record 15
AcThCuAg PBE relaxed; total magnetization = 0.533 Bohr magnetons per cell; DFT formation energy = -0.015 eV per atom; V = 107 Å³ per cell; space group = No. 216; E_tot = -4.634 eV per atom
1.0
0.000 3.774 3.774
3.774 0.000 3.774
3.774 3.774 0.000
Ac Th Cu Ag
1 1 1 1
Cartesian
0.000 0.000 0.000 Ac
3.774 3.774 3.774 Th
1.887 1.887 1.887 Cu
5.661 5.661 5.661 Ag

Record 16
LaCuAs2Pd PBE relaxed; total magnetization = 0.000 Bohr magnetons per cell; DFT formation energy = -0.783 eV per atom; V = 98 Å³ per cell; space group = No. 119; E_tot = -5.486 eV per atom
1.0
-2.088 2.088 5.591
2.088 -2.088 5.591
2.088 2.088 -5.591
La Cu As Pd
1 1 2 1
Cartesian
0.000 0.000 0.000 La
2.088 0.000 2.796 Cu
0.000 0.000 4.225 As
0.000 0.000 6.958 As
0.000 2.088 2.796 Pd

Record 17
BaZnCdPt2 PBE relaxed; total magnetization = 0.000 Bohr magnetons per cell; DFT formation energy = -0.567 eV per atom; V = 116 Å³ per cell; space group = No. 119; E_tot = -3.805 eV per atom
1.0
-2.223 2.223 5.865
2.223 -2.223 5.865
2.223 2.223 -5.865
Ba Zn Cd Pt
1 1 1 2
Cartesian
0.000 0.000 0.000 Ba
0.000 2.223 2.933 Zn
2.223 0.000 2.933 Cd
0.000 0.000 4.532 Pt
0.000 0.000 7.199 Pt

Record 18
CaZrCl2 PBE relaxed; total magnetization = 0.840 Bohr magnetons per cell; formation energy (no corrections) = -936.2 meV per atom; V = 94 Å³ per cell; space group = No. 10; E_tot = -4.497 eV per atom
1.0
3.485 0.000 0.000
0.000 4.432 0.000
-0.459 0.000 6.087
Ca Zr Cl
1 1 2
Cartesian
0.000 0.000 0.000 Ca
1.513 0.000 3.044 Zr
1.128 2.216 1.550 Cl
1.899 2.216 4.538 Cl

Record 19
SrSm6Y8 PBE relaxed; total magnetization = 0.000 Bohr magnetons per cell; DFT formation energy = 0.224 eV per atom; V = 506 Å³ per cell; space group = No. 148; E_tot = -5.223 eV per atom
1.0
4.904 2.831 6.075
-4.904 2.831 6.075
0.000 -5.662 6.075
Sr Sm Y
1 6 8
Cartesian
0.000 0.000 0.000 Sr
-1.291 -1.755 7.449 Sm
-2.165 0.240 10.777 Sm
-0.875 1.995 7.449 Sm
0.875 -1.995 10.777 Sm
2.165 -0.240 7.449 Sm
1.291 1.755 10.777 Sm
-3.975 0.453 7.872 Y
-2.380 -3.216 10.354 Y
0.000 0.000 4.349 Y
1.595 -3.669 7.872 Y
-1.595 3.669 10.354 Y
0.000 0.000 13.877 Y
2.380 3.216 7.872 Y
3.975 -0.453 10.354 Y

Record 20
Cs2AlCoBr6 PBE relaxed; total magnetization = 2.271 Bohr magnetons per cell; formation energy (no corrections) = -1037.4 meV per atom; V = 302 Å³ per cell; space group = No. 139; E_tot = -3.297 eV per atom
1.0
-3.764 3.764 5.333
3.764 -3.764 5.333
3.764 3.764 -5.333
Cs Al Co Br
2 1 1 6
Cartesian
3.764 0.000 2.666 Cs
0.000 3.764 2.666 Cs
0.000 0.000 0.000 Al
0.000 0.000 5.333 Co
0.000 0.000 2.597 Br
1.841 1.841 0.000 Br
1.923 -1.923 5.333 Br
-1.923 1.923 5.333 Br
1.923 1.923 5.333 Br
0.000 0.000 8.068 Br